1.
# PBE Y3TmBi4, relaxed
# formation energy from the elements = -0.87 eV/atom
# Fermi-level density of states = 1.71 states/eV per cell
# SG = P2/c
# ρ = 8351 kg/m³
# final energy = -92.67 eV/cell
data_Y3TmBi4
_cell_length_a 7.739
_cell_length_b 7.739
_cell_length_c 8.957
_cell_angle_alpha 90.00
_cell_angle_beta 90.00
_cell_angle_gamma 109.49
_space_group_name_H-M_alt 'P 1'
_space_group_IT_number 1
loop_
_space_group_symop_operation_xyz
'x,y,z'
loop_
_atom_site_label
_atom_site_type_symbol
_atom_site_fract_x
_atom_site_fract_y
_atom_site_fract_z
Y1 Y 0.750 0.000 0.375
Y2 Y 0.250 0.000 0.625
Y3 Y 0.750 0.500 0.625
Y4 Y 0.750 0.500 0.125
Y5 Y 0.250 0.500 0.375
Y6 Y 0.250 0.500 0.875
Tm1 Tm 0.750 0.000 0.875
Tm2 Tm 0.250 0.000 0.125
Bi1 Bi 0.999 0.249 0.626
Bi2 Bi 0.500 0.247 0.877
Bi3 Bi 0.499 0.249 0.374
Bi4 Bi 0.000 0.247 0.123
Bi5 Bi 0.000 0.753 0.877
Bi6 Bi 0.501 0.751 0.626
Bi7 Bi 0.500 0.753 0.123
Bi8 Bi 0.001 0.751 0.374

***

2.
# PBE PaCoMo, relaxed
# formation energy from the elements = 0.10 eV/atom
# Fermi-level density of states = 2.31 states/eV per cell
# SG = I4mm
# polymorph energy (0 for the lowest one) = 0.000 eV/atom
# ρ = 12631 kg/m³
# final energy = -27.13 eV/cell
data_PaCoMo
_cell_length_a 2.899
_cell_length_b 2.899
_cell_length_c 6.376
_cell_angle_alpha 103.14
_cell_angle_beta 103.14
_cell_angle_gamma 90.00
_space_group_name_H-M_alt 'P 1'
_space_group_IT_number 1
loop_
_space_group_symop_operation_xyz
'x,y,z'
loop_
_atom_site_label
_atom_site_type_symbol
_atom_site_fract_x
_atom_site_fract_y
_atom_site_fract_z
Mo1 Mo 0.309 0.309 0.618
Pa1 Pa 0.008 0.008 0.016
Co1 Co 0.683 0.683 0.366

***

3.
# PBE Pr2Ge2HRu2, relaxed
# Fermi-level density of states = 4.01 states/eV per cell
# SG = I4/mmm
# ρ = 8015 kg/m³
# final energy = -44.99 eV/cell
data_Pr2Ge2HRu2
_cell_length_a 4.190
_cell_length_b 4.190
_cell_length_c 8.007
_cell_angle_alpha 105.17
_cell_angle_beta 105.17
_cell_angle_gamma 90.00
_space_group_name_H-M_alt 'P 1'
_space_group_IT_number 1
loop_
_space_group_symop_operation_xyz
'x,y,z'
loop_
_atom_site_label
_atom_site_type_symbol
_atom_site_fract_x
_atom_site_fract_y
_atom_site_fract_z
Pr1 Pr 0.159 0.159 0.317
Pr2 Pr 0.841 0.841 0.683
Ge1 Ge 0.397 0.397 0.794
Ge2 Ge 0.603 0.603 0.206
H1 H 0.000 0.000 0.000
Ru1 Ru 0.000 0.500 0.000
Ru2 Ru 0.500 0.000 0.000

***

4.
# PBE PHAuO2, relaxed
# Fermi-level density of states = 4.96 states/eV per cell
# SG = P4/mmm
# polymorph energy (0 for the lowest one) = 0.000 eV/atom
# ρ = 8428 kg/m³
# final energy = -18.07 eV/cell
data_PHAuO2
_cell_length_a 4.128
_cell_length_b 4.128
_cell_length_c 3.017
_cell_angle_alpha 90.00
_cell_angle_beta 90.00
_cell_angle_gamma 90.00
_space_group_name_H-M_alt 'P 1'
_space_group_IT_number 1
loop_
_space_group_symop_operation_xyz
'x,y,z'
loop_
_atom_site_label
_atom_site_type_symbol
_atom_site_fract_x
_atom_site_fract_y
_atom_site_fract_z
P1 P 0.000 0.000 0.500
Au1 Au 0.500 0.500 0.500
O1 O 0.000 0.500 0.000
O2 O 0.500 0.000 0.000
H1 H 0.000 0.000 0.000